VASP calculation (GGA-PBE) on a geometry-optimized HfAlIr2 structure. Values from VASP.

Computed properties:
Calculated density ... 10.393 g cm⁻³
Final energy ... -7.663 eV per atom
Density of states at the Fermi level ... 2.481 states/eV/f.u.
ΔE_f ... 191 meV per atom

The structure in Quantum ESPRESSO input format:
```
&SYSTEM
  ibrav = 0, nat = 8, ntyp = 3
/
ATOMIC_SPECIES
Hf 178.49 Hf.upf
Al 26.98 Al.upf
Ir 192.22 Ir.upf
CELL_PARAMETERS angstrom
-2.8780 2.8780 5.6896
2.8780 -2.8780 5.6896
2.8780 2.8780 -5.6896
ATOMIC_POSITIONS angstrom
Hf 0.0000 0.0000 0.0000
Hf 0.0000 2.8780 2.8448
Al 2.8780 0.0000 2.8448
Al 0.0000 0.0000 5.6896
Ir 1.4390 -1.3014 4.2672
Ir 1.5765 1.4390 1.4224
Ir 1.4390 4.1794 -1.4224
Ir 1.3014 1.4390 7.1119
```